Crystalline NaCd3Os at its relaxed geometry, computed with PBE.

Results
The calculation puts the density of states at the Fermi level at 2.7 states/eV/cell. The calculation puts the total moment at 0.00 μB per formula unit. Its space-group type is Pm-3m, No. 221. The value obtained for the calculated formation energy is 0.4894 eV/atom. The total energy is -2.5695 eV/atom.

Cell and atoms, written as POSCAR:
```
NaCd3Os
1.0
-4.833 -2.013 -0.233
1.959 -4.486 -1.872
0.520 -1.813 4.889
Cd Os Na
3 1 1
Cartesian
0.260 -0.907 2.445 Cd
-2.416 -1.007 -0.116 Cd
0.979 -2.243 -0.936 Cd
0.000 0.000 0.000 Os
-1.177 -4.156 1.392 Na
```

Crystalline Ta2ZnCu at its relaxed geometry, computed with PBE.

Results
The calculation puts the density of states at the Fermi level at 8.3 states/eV/cell. The calculation puts the total moment at 0.00 μB per formula unit. Its space-group type is I-42d, No. 122. The value obtained for the calculated formation energy is 0.5429 eV/atom. The total energy is -6.7259 eV/atom.

Cell and atoms, written as POSCAR:
```
Ta2ZnCu
1.0
7.105 0.000 0.000
0.000 7.105 0.000
3.552 3.552 2.662
Ta Zn Cu
4 2 2
Cartesian
5.234 1.776 0.665 Ta
5.329 5.424 1.996 Ta
1.871 5.329 0.665 Ta
8.881 8.786 1.996 Ta
7.105 3.552 1.331 Zn
0.000 0.000 0.000 Zn
3.552 7.105 1.331 Cu
3.552 3.552 0.000 Cu
```

Crystalline CuBN2F at its relaxed geometry, computed with PBE.

Results
The calculation puts the density of states at the Fermi level at 2.9 states/eV/cell. The calculation puts the total moment at 3.00 μB per formula unit. Its space-group type is P4/mmm, No. 123. Its formation energy without anion corrections is 9.13 eV/f.u. The total energy is -4.0335 eV/atom.

Cell and atoms, written as POSCAR:
```
CuBN2F
1.0
-1.624 -1.573 -2.941
2.155 -2.992 0.410
-2.957 -1.776 2.582
B N F Cu
1 2 1 1
Cartesian
-1.213 -3.170 0.025 B
-0.812 -0.786 -1.471 N
1.077 -1.496 0.205 N
-1.478 -0.888 1.291 F
0.000 0.000 0.000 Cu
```

Crystalline RbZrTi2Ga at its relaxed geometry, computed with PBE.

Results
The calculation puts the density of states at the Fermi level at 6.4 states/eV/cell. The calculation puts the total moment at 4.01 μB per formula unit. Its space-group type is P4/mmm, No. 123. The value obtained for the calculated formation energy is 0.9476 eV/atom. The total energy is -4.7189 eV/atom.

Cell and atoms, written as POSCAR:
```
RbZrTi2Ga
1.0
-4.857 0.233 1.468
1.380 -1.765 4.846
0.697 4.789 1.545
Ti Zr Rb Ga
2 1 1 1
Cartesian
0.349 2.394 0.773 Ti
-2.429 0.117 0.734 Ti
0.690 -0.882 2.423 Zr
-1.390 1.629 3.930 Rb
0.000 0.000 0.000 Ga
```

Crystalline Tb2ErHgO at its relaxed geometry, computed with PBE.

Results
The calculation puts the density of states at the Fermi level at 2.3 states/eV/cell. The calculation puts the total moment at 0.00 μB per formula unit. Its space-group type is P4/mmm, No. 123. Its formation energy without anion corrections is -6.95 eV/f.u. The total energy is -5.2063 eV/atom.

Cell and atoms, written as POSCAR:
```
Tb2ErHgO
1.0
-0.629 4.409 1.550
-2.343 1.083 -4.030
-4.124 -1.307 2.046
Tb O Er Hg
2 1 1 1
Cartesian
-1.171 0.542 -2.015 Tb
-2.062 -0.654 1.023 Tb
0.000 0.000 0.000 O
-0.314 2.205 0.775 Er
-3.548 2.093 -0.217 Hg
```

Crystalline BaScSbI2 at its relaxed geometry, computed with PBE.

Results
The calculation puts the density of states at the Fermi level at 0.6 states/eV/cell. The calculation puts the total moment at 0.00 μB per formula unit. Its space-group type is P4/mmm, No. 123. Its formation energy without anion corrections is -4.97 eV/f.u. The total energy is -4.0887 eV/atom.

Cell and atoms, written as POSCAR:
```
BaScSbI2
1.0
5.743 0.000 0.000
0.000 5.743 0.000
0.000 0.000 5.750
Sc Ba I Sb
1 1 2 1
Cartesian
0.000 0.000 0.000 Sc
2.872 2.872 2.875 Ba
0.000 2.872 0.000 I
2.872 0.000 0.000 I
0.000 0.000 2.875 Sb
```

Crystalline CsPtS3 at its relaxed geometry, computed with PBE.

Results
The calculation puts the density of states at the Fermi level at 6.6 states/eV/cell. The calculation puts the total moment at 2.02 μB per formula unit. Its space-group type is Pm-3m, No. 221. Its formation energy without anion corrections is 9.90 eV/f.u. The total energy is -1.8762 eV/atom.

Cell and atoms, written as POSCAR:
```
CsPtS3
1.0
-0.963 -2.649 4.601
3.196 -4.023 -1.647
4.239 2.431 2.287
Cs S Pt
1 3 1
Cartesian
0.000 0.000 0.000 Cs
2.120 1.215 1.143 S
-0.482 -1.324 2.300 S
1.598 -2.012 -0.824 S
3.236 -2.120 2.620 Pt
```

Crystalline SrTi2SiP at its relaxed geometry, computed with PBE.

Results
The calculation puts the density of states at the Fermi level at 6.3 states/eV/cell. The calculation puts the total moment at 0.65 μB per formula unit. Its space-group type is P4/mmm, No. 123. Its formation energy without anion corrections is 9.87 eV/f.u. The total energy is -3.6863 eV/atom.

Cell and atoms, written as POSCAR:
```
SrTi2SiP
1.0
4.954 0.000 0.000
0.000 5.139 0.000
0.000 0.000 4.954
Ti Sr P Si
2 1 1 1
Cartesian
2.477 0.000 0.000 Ti
0.000 0.000 2.477 Ti
0.000 0.000 0.000 Sr
0.000 2.570 0.000 P
2.477 2.570 2.477 Si
```

Crystalline Sr2WS at its relaxed geometry, computed with PBE.

Results
The calculation puts the density of states at the Fermi level at 9.3 states/eV/cell. The calculation puts the total moment at 1.14 μB per formula unit. Its space-group type is I-42d, No. 122. Its formation energy without anion corrections is 0.52 eV/f.u. The total energy is -4.9813 eV/atom.

Cell and atoms, written as POSCAR:
```
Sr2WS
1.0
-1.971 6.536 -8.659
7.611 -5.438 -5.837
1.241 -0.885 -7.971
Sr S W
4 2 2
Cartesian
4.590 1.209 -17.684 Sr
0.360 2.088 -6.682 Sr
4.491 -1.707 -8.176 Sr
4.322 -1.164 -12.393 Sr
5.836 -2.887 -10.528 S
2.820 0.549 -7.248 S
0.000 0.000 0.000 W
1.045 3.100 -11.939 W
```

Crystalline CePd2Au10 at its relaxed geometry, computed with PBE.

Results
The calculation puts the density of states at the Fermi level at 11.5 states/eV/cell. The calculation puts the total moment at 0.96 μB per formula unit. Its space-group type is Fmmm, No. 69. The value obtained for the calculated formation energy is -0.2187 eV/atom. The total energy is -3.9951 eV/atom.

Cell and atoms, written as POSCAR:
```
CePd2Au10
1.0
5.212 0.000 2.125
2.606 6.541 1.062
0.027 0.000 7.388
Au Pd Ce
10 2 1
Cartesian
2.619 0.000 4.757 Au
4.667 5.125 3.463 Au
1.744 4.243 3.176 Au
6.101 2.298 7.400 Au
5.784 5.125 8.176 Au
3.495 4.243 6.337 Au
3.178 1.416 7.113 Au
0.013 0.000 3.694 Au
2.061 1.416 2.400 Au
4.350 2.298 4.239 Au
1.303 3.271 0.531 Pd
3.909 3.271 1.594 Pd
0.000 0.000 0.000 Ce
```

Crystalline Th5Re2Sn at its relaxed geometry, computed with PBE.

Results
The calculation puts the density of states at the Fermi level at 16.0 states/eV/cell. The calculation puts the total moment at 0.00 μB per formula unit. Its space-group type is I4/mcm, No. 140. The value obtained for the calculated formation energy is -0.2195 eV/atom. The total energy is -8.4693 eV/atom.

Cell and atoms, written as POSCAR:
```
Th5Re2Sn
1.0
-0.106 6.037 -5.359
2.558 -5.058 -5.749
-7.671 -1.983 4.000
Th Sn Re
10 2 4
Cartesian
-0.955 2.950 -6.896 Th
1.226 0.490 -5.554 Th
-1.372 0.861 -3.161 Th
-0.073 -2.777 -5.051 Th
-5.145 1.774 -2.057 Th
0.000 0.000 0.000 Th
-4.263 -3.954 -0.212 Th
-3.847 -1.864 -3.947 Th
0.343 -0.688 -8.786 Th
-5.562 -0.316 1.678 Th
-3.222 -0.747 -0.777 Sn
-1.996 -0.257 -6.331 Sn
0.285 3.154 -4.211 Re
2.167 -2.174 -6.897 Re
1.540 1.979 -8.287 Re
0.912 -1.000 -2.821 Re
```

Crystalline Y2CoRu at its relaxed geometry, computed with PBE.

Results
The calculation puts the density of states at the Fermi level at 5.2 states/eV/cell. The calculation puts the total moment at 1.03 μB per formula unit. Its space-group type is R3m, No. 160. The value obtained for the calculated formation energy is -0.1725 eV/atom. The total energy is -7.5000 eV/atom.

Cell and atoms, written as POSCAR:
```
Y2CoRu
1.0
7.202 -0.025 -0.015
6.067 3.881 -0.015
6.067 1.763 3.457
Ru Y Co
1 2 1
Cartesian
15.347 4.459 2.720 Ru
0.697 0.202 0.123 Y
4.140 1.203 0.734 Y
8.822 2.563 1.563 Co
```

Crystalline Mg3NiMo at its relaxed geometry, computed with PBE.

Results
The calculation puts the density of states at the Fermi level at 6.2 states/eV/cell. The calculation puts the total moment at 3.08 μB per formula unit. Its space-group type is Pm-3m, No. 221. The value obtained for the calculated formation energy is 1.5173 eV/atom. The total energy is -2.7619 eV/atom.

Cell and atoms, written as POSCAR:
```
Mg3NiMo
1.0
5.113 0.000 0.000
0.000 5.113 0.000
0.000 0.000 5.113
Mg Ni Mo
3 1 1
Cartesian
2.556 0.000 0.000 Mg
0.000 2.556 0.000 Mg
0.000 0.000 2.556 Mg
2.556 2.556 2.556 Ni
0.000 0.000 0.000 Mo
```

Crystalline AlW2Cl at its relaxed geometry, computed with PBE.

Results
The calculation puts the density of states at the Fermi level at 3.9 states/eV/cell. The calculation puts the total moment at 0.00 μB per formula unit. Its space-group type is R-3m, No. 166. Its formation energy without anion corrections is 1.87 eV/f.u. The total energy is -7.4063 eV/atom.

Cell and atoms, written as POSCAR:
```
AlW2Cl
1.0
8.996 -0.005 -0.003
8.537 2.836 -0.003
8.537 1.379 2.478
Cl W Al
1 2 1
Cartesian
19.553 3.158 1.855 Cl
0.035 0.006 0.003 W
13.000 2.099 1.233 W
6.518 1.053 0.618 Al
```

Crystalline ReBCl2 at its relaxed geometry, computed with PBE.

Results
The calculation puts the density of states at the Fermi level at 1.6 states/eV/cell. The calculation puts the total moment at 0.00 μB per formula unit. Its space-group type is R-3m, No. 166. Its formation energy without anion corrections is 4.69 eV/f.u. The total energy is -4.5322 eV/atom.

Cell and atoms, written as POSCAR:
```
ReBCl2
1.0
4.784 -7.860 -0.047
6.604 -6.198 -1.627
6.732 -6.137 1.296
Cl B Re
2 1 1
Cartesian
1.501 -1.673 -0.031 Cl
16.619 -18.522 -0.346 Cl
9.060 -10.098 -0.189 B
0.000 0.000 0.000 Re
```

Crystalline Li2Ac2Ga3 at its relaxed geometry, computed with PBE.

Results
The calculation puts the density of states at the Fermi level at 4.1 states/eV/cell. The calculation puts the total moment at 0.00 μB per formula unit. Its space-group type is C2/m, No. 12. The value obtained for the calculated formation energy is -0.3661 eV/atom. The total energy is -3.3840 eV/atom.

Cell and atoms, written as POSCAR:
```
Li2Ac2Ga3
1.0
4.761 0.000 0.000
-2.380 5.540 -0.003
0.000 -2.562 6.417
Ga Li Ac
3 2 2
Cartesian
0.000 3.037 3.768 Ga
2.380 0.000 0.000 Ga
2.380 -0.060 2.646 Ga
2.380 2.117 4.763 Li
0.000 0.861 1.651 Li
2.380 3.171 1.546 Ac
0.000 -0.194 4.868 Ac
```

Crystalline La2TbPm7 at its relaxed geometry, computed with PBE.

Results
The calculation puts the density of states at the Fermi level at 16.2 states/eV/cell. The calculation puts the total moment at 0.00 μB per formula unit. Its space-group type is Cmmm, No. 65. The value obtained for the calculated formation energy is 0.1440 eV/atom. The total energy is -4.6299 eV/atom.

Cell and atoms, written as POSCAR:
```
La2TbPm7
1.0
3.508 0.000 0.000
0.000 14.352 -4.851
0.000 -10.805 10.620
Pm Tb La
7 1 2
Cartesian
0.000 -6.096 7.724 Pm
1.754 0.222 5.872 Pm
1.754 -1.593 2.921 Pm
1.754 1.774 2.884 Pm
1.754 3.325 -0.104 Pm
1.754 5.140 2.848 Pm
0.000 9.643 -1.955 Pm
0.000 0.000 0.000 Tb
1.754 6.906 -0.272 La
1.754 -3.359 6.041 La
```

Crystalline KCoSb2 at its relaxed geometry, computed with PBE.

Results
The calculation puts the density of states at the Fermi level at 6.3 states/eV/cell. The calculation puts the total moment at 0.83 μB per formula unit. Its space-group type is I4_1/amd, No. 141. Its formation energy without anion corrections is 0.24 eV/f.u. The total energy is -4.0526 eV/atom.

Cell and atoms, written as POSCAR:
```
KCoSb2
1.0
-1.030 -3.996 4.404
5.811 0.272 1.607
0.782 3.889 7.847
Sb K Co
4 2 2
Cartesian
2.925 -2.356 6.821 Sb
0.021 -2.488 6.014 Sb
0.929 1.452 7.738 Sb
0.409 -0.546 9.939 Sb
4.492 1.150 6.229 K
2.390 -1.862 3.005 K
1.071 -0.985 7.628 Co
0.000 0.000 0.000 Co
```

Crystalline OsAu2Br at its relaxed geometry, computed with PBE.

Results
The calculation puts the density of states at the Fermi level at 3.9 states/eV/cell. The calculation puts the total moment at 0.00 μB per formula unit. Its space-group type is Pmmm, No. 47. Its formation energy without anion corrections is 4.06 eV/f.u. The total energy is -3.8500 eV/atom.

Cell and atoms, written as POSCAR:
```
OsAu2Br
1.0
2.912 0.000 0.000
0.000 4.758 0.000
0.000 0.000 5.251
Br Au Os
1 2 1
Cartesian
1.456 0.000 2.625 Br
1.456 2.379 0.000 Au
0.000 0.000 0.000 Au
0.000 2.379 2.625 Os
```